Record 1
Compound: SmCuPd2Pt2
Source: OQMD
Functional: PBE
Structure: optimized geometry

## Properties
The energy relative to the elements comes out at -367.1 kJ/mol of formula units. The volume is 107 Å³ per cell. The final energy comes out at -5.78 eV/atom.

Unit cell a=5.1813 b=5.1813 c=4.4750 alpha=90.00 beta=90.00 gamma=117.21
Last column: nearest neighbours and their distance in Å.
Positions (direct):
Cu  0.5000  0.5000  0.0000  4 Pt 2.59, 4 Pd 2.67
Pd  0.6644  0.3356  0.5000  2 Cu 2.67, 4 Pt 2.72, 1 Pd 2.91, 1 Sm 2.97
Pd  0.3356  0.6644  0.5000  2 Cu 2.67, 4 Pt 2.72, 1 Pd 2.91, 1 Sm 2.97
Pt  0.5000  0.0000  0.0000  2 Cu 2.59, 2 Pt 2.70, 4 Pd 2.72
Pt  0.0000  0.5000  0.0000  2 Cu 2.59, 2 Pt 2.70, 4 Pd 2.72
Sm  0.0000  0.0000  0.5000  6 Pd 2.97-3.07


Record 2
Compound: HoNb2N4
Source: OQMD
Functional: PBE
Structure: optimized geometry

## Properties
The volume is 165 Å³ per cell. The final energy comes out at -9.47 eV/atom.

Unit cell a=5.3410 b=5.3410 c=10.3417 alpha=90.00 beta=90.00 gamma=146.04
Last column: nearest neighbours and their distance in Å.
Positions (direct):
Ho  0.3840  0.6160  0.2500  6 N 2.34-2.40
Ho  0.6160  0.3840  0.7500  6 N 2.34-2.40
N  0.5000  0.5000  0.0000  4 Nb 2.16
N  0.7694  0.2306  0.1152  3 Nb 2.16-2.17, 2 Ho 2.40
N  0.0545  0.9455  0.2500  2 Nb 2.03
N  0.7694  0.2306  0.3848  3 Nb 2.16-2.17, 2 Ho 2.40
N  0.5000  0.5000  0.5000  4 Nb 2.16
N  0.2306  0.7694  0.6152  3 Nb 2.16-2.17, 2 Ho 2.40
N  0.9455  0.0545  0.7500  2 Nb 2.03
N  0.2306  0.7694  0.8848  3 Nb 2.16-2.17, 2 Ho 2.40
Nb  0.1293  0.8707  0.0683  6 N 2.03-2.17
Nb  0.1293  0.8707  0.4317  6 N 2.03-2.17
Nb  0.8707  0.1293  0.5683  6 N 2.03-2.17
Nb  0.8707  0.1293  0.9317  6 N 2.03-2.17


Record 3
Compound: TbHoGa2Br2
Source: OQMD
Functional: PBE
Structure: optimized geometry

## Properties
The volume is 166 Å³ per cell. The final energy comes out at -4.31 eV/atom.

Unit cell a=4.1236 b=4.1236 c=11.2670 alpha=90.00 beta=90.00 gamma=120.00
Last column: nearest neighbours and their distance in Å.
Positions (direct):
Br  0.3333  0.6667  0.1635  3 Ho 2.95
Br  0.6667  0.3333  0.8389  3 Tb 2.97
Ga  0.6667  0.3333  0.4677  3 Ga 2.48
Ga  0.3333  0.6667  0.5300  3 Ga 2.48
Ho  0.0000  0.0000  0.3184  3 Ga 2.91, 3 Br 2.95
Tb  0.0000  0.0000  0.6816  3 Ga 2.93, 3 Br 2.97


Record 4
Compound: NaHg2ClO2
Source: OQMD
Functional: PBE
Structure: optimized geometry

## Properties
The volume is 363 Å³ per cell. The final energy comes out at -3.09 eV/atom.

Unit cell a=6.6044 b=6.6044 c=9.5993 alpha=90.00 beta=90.00 gamma=120.00
Last column: nearest neighbours and their distance in Å.
Positions (direct):
Cl  0.5000  0.0000  0.0000  6 Hg 3.12-3.30
Cl  0.5000  0.5000  0.3333  6 Hg 3.12-3.30
Cl  0.0000  0.5000  0.6667  6 Hg 3.12-3.30
Hg  0.5000  0.5000  0.0087  2 O 2.04
Hg  0.5000  0.0000  0.3247  2 O 2.04
Hg  0.0000  0.5000  0.3420  2 O 2.04
Hg  0.5000  0.5000  0.6580  2 O 2.04
Hg  0.5000  0.0000  0.6753  2 O 2.04
Hg  0.0000  0.5000  0.9913  2 O 2.04
Na  0.0000  0.0000  0.1667  4 O 2.31
Na  0.0000  0.0000  0.5000  4 O 2.31
Na  0.0000  0.0000  0.8333  4 O 2.31
O  0.1452  0.2904  0.0000  2 Hg 2.04
O  0.8548  0.7096  0.0000  2 Hg 2.04
O  0.8548  0.1452  0.3333  2 Hg 2.04
O  0.1452  0.8548  0.3333  2 Hg 2.04
O  0.2904  0.1452  0.6667  2 Hg 2.04
O  0.7096  0.8548  0.6667  2 Hg 2.04


Q: The highest final energy belongs to which entry?
A: NaHg2ClO2


Q: The lowest final energy belongs to which entry?
A: HoNb2N4


Repeat the second record exactly.
Compound: HoNb2N4
Source: OQMD
Functional: PBE
Structure: optimized geometry

## Properties
The volume is 165 Å³ per cell. The final energy comes out at -9.47 eV/atom.

Unit cell a=5.3410 b=5.3410 c=10.3417 alpha=90.00 beta=90.00 gamma=146.04
Last column: nearest neighbours and their distance in Å.
Positions (direct):
Ho  0.3840  0.6160  0.2500  6 N 2.34-2.40
Ho  0.6160  0.3840  0.7500  6 N 2.34-2.40
N  0.5000  0.5000  0.0000  4 Nb 2.16
N  0.7694  0.2306  0.1152  3 Nb 2.16-2.17, 2 Ho 2.40
N  0.0545  0.9455  0.2500  2 Nb 2.03
N  0.7694  0.2306  0.3848  3 Nb 2.16-2.17, 2 Ho 2.40
N  0.5000  0.5000  0.5000  4 Nb 2.16
N  0.2306  0.7694  0.6152  3 Nb 2.16-2.17, 2 Ho 2.40
N  0.9455  0.0545  0.7500  2 Nb 2.03
N  0.2306  0.7694  0.8848  3 Nb 2.16-2.17, 2 Ho 2.40
Nb  0.1293  0.8707  0.0683  6 N 2.03-2.17
Nb  0.1293  0.8707  0.4317  6 N 2.03-2.17
Nb  0.8707  0.1293  0.5683  6 N 2.03-2.17
Nb  0.8707  0.1293  0.9317  6 N 2.03-2.17


Q: Look up the final energy of the fourth one.
A: -3.09 eV/atom